First-principles (PBE) data for a relaxed structure of V2CoBr, as listed in Alexandria via LeMat-Bulk.

Cell lengths 5.515, 5.515, 6.568 Å; angles 65.18, 65.18, 90.00 degrees
Last column: magnetic moment on the atom in μB.
Sites, in units of the cell vectors:
V (0.375, 0.428, 0.750)  1.33
V (0.572, 0.125, 0.250)  1.33
Co (0.500, 0.500, 0.000)  -0.46
Co (0.250, 0.750, 0.500)  -0.46
Br (0.750, 0.250, 0.500)  -0.02
Br (0.000, 0.000, 0.000)  -0.02
V (0.178, 0.625, 0.250)  1.33
V (0.875, 0.822, 0.750)  1.33

Properties
The calculation puts the energy above the lowest structure with this stoichiometry at 0.1137 eV/atom. For the volume, the calculation gives 20.1 Å³ per atom. The value obtained for the formation energy without anion corrections is 698 meV per atom. The total energy is -48.5 eV/cell. The density of states at the Fermi level is 1.14 states/eV/atom. Its space group is I-42d (122).

First-principles (PBE) data for a relaxed structure of VCoBr, as listed in Alexandria via LeMat-Bulk.

Cell lengths 4.641, 4.732, 10.187 Å; angles 90.00, 90.00, 90.00 degrees
Sites, in units of the cell vectors:
Br (0.826, 0.000, 0.684)
V (0.826, 0.500, 0.834)
Br (0.826, 0.500, 0.316)
V (0.826, 0.000, 0.166)
Co (0.076, 0.708, 0.000)
V (0.326, 0.500, 0.166)
Co (0.576, 0.792, 0.000)
V (0.326, 0.000, 0.834)
Br (0.326, 0.500, 0.684)
Co (0.576, 0.292, 0.000)
Co (0.076, 0.208, 0.000)
Br (0.326, 0.000, 0.316)

Properties
For the volume, the calculation gives 18.6 Å³ per atom. The value obtained for the formation energy without anion corrections is -85 meV per atom. The total energy is -72.6 eV/cell. The density of states at the Fermi level is 0.63 states/eV/atom. Its space group is Pcca (54).

First-principles (PBE) data for a relaxed structure of VCoBr2, as listed in Alexandria via LeMat-Bulk.

Cell lengths 4.650, 4.650, 4.650 Å; angles 60.00, 60.00, 60.00 degrees
Last column: magnetic moment on the atom in μB.
Sites, in units of the cell vectors:
Br (0.750, 0.750, 0.750)  0.01
V (0.000, 0.000, 0.000)  2.59
Co (0.500, 0.500, 0.500)  1.66
Br (0.250, 0.250, 0.250)  0.01

Properties
The calculation puts the energy above the lowest structure with this stoichiometry at 0.2549 eV/atom. For the volume, the calculation gives 17.8 Å³ per atom. The value obtained for the formation energy without anion corrections is 584 meV per atom. The total energy is -17.2 eV/cell. The density of states at the Fermi level is 1.96 states/eV/atom. Its space group is Fm-3m (225).

First-principles (PBE) data for a relaxed structure of VCo3Br, as listed in Alexandria via LeMat-Bulk.

Cell lengths 4.286, 4.286, 4.286 Å; angles 90.00, 90.00, 90.00 degrees
Last column: magnetic moment on the atom in μB.
Sites, in units of the cell vectors:
Co (0.500, 0.000, 0.000)  0.78
Br (0.000, 0.000, 0.000)  0.02
Co (0.000, 0.500, 0.000)  0.78
V (0.500, 0.500, 0.500)  2.33
Co (0.000, 0.000, 0.500)  0.78

Properties
The calculation puts the energy above the lowest structure with this stoichiometry at 0.0000 eV/atom. For the volume, the calculation gives 15.7 Å³ per atom. The value obtained for the formation energy without anion corrections is 1279 meV per atom. The total energy is -25.7 eV/cell. The density of states at the Fermi level is 1.90 states/eV/atom. Its space group is Pm-3m (221).

First-principles (PBE) data for a relaxed structure of V2CoBr, as listed in Alexandria via LeMat-Bulk.

Cell lengths 4.248, 4.248, 4.248 Å; angles 60.00, 60.00, 60.00 degrees
Sites, in units of the cell vectors:
Co (0.000, 0.000, 0.000)
V (0.750, 0.750, 0.750)
V (0.250, 0.250, 0.250)
Br (0.500, 0.500, 0.500)

Properties
The calculation puts the energy above the lowest structure with this stoichiometry at 0.0000 eV/atom. For the volume, the calculation gives 13.5 Å³ per atom. The value obtained for the formation energy without anion corrections is 584 meV per atom. The total energy is -24.7 eV/cell. The density of states at the Fermi level is 1.50 states/eV/atom. Its space group is Fm-3m (225).

First-principles (PBE) data for a relaxed structure of Co2WBr, as listed in Alexandria via LeMat-Bulk.

Cell lengths 5.170, 5.170, 5.170 Å; angles 147.45, 129.81, 61.10 degrees
Last column: magnetic moment on the atom in μB.
Sites, in units of the cell vectors:
Co (0.001, 0.001, 0.000)  0.84
Br (0.243, 0.743, 0.500)  0.03
W (0.490, 0.490, 0.000)  -0.10
Co (0.766, 0.266, 0.500)  1.30

Properties
The calculation puts the energy above the lowest structure with this stoichiometry at 0.4870 eV/atom. For the volume, the calculation gives 14.1 Å³ per atom. The value obtained for the formation energy without anion corrections is 926 meV per atom. The total energy is -25.1 eV/cell. The density of states at the Fermi level is 1.26 states/eV/atom. Its space group is Imm2 (44).

First-principles (PBE) data for a relaxed structure of Co2WBr, as listed in Alexandria via LeMat-Bulk.

Cell lengths 5.828, 5.828, 6.021 Å; angles 61.06, 61.06, 90.00 degrees
Sites, in units of the cell vectors:
Co (0.875, 0.885, 0.750)
Co (0.375, 0.365, 0.750)
Br (0.250, 0.750, 0.500)
Co (0.635, 0.125, 0.250)
Br (0.500, 0.500, 0.000)
W (0.750, 0.250, 0.500)
Co (0.115, 0.625, 0.250)
W (0.000, 0.000, 0.000)

Properties
The calculation puts the energy above the lowest structure with this stoichiometry at 0.5061 eV/atom. For the volume, the calculation gives 18.6 Å³ per atom. The value obtained for the formation energy without anion corrections is 945 meV per atom. The total energy is -50.1 eV/cell. The density of states at the Fermi level is 1.28 states/eV/atom. Its space group is I-42d (122).

First-principles (PBE) data for a relaxed structure of CoW2Br, as listed in Alexandria via LeMat-Bulk.

Cell lengths 2.972, 2.972, 6.857 Å; angles 90.00, 90.00, 90.00 degrees
Last column: magnetic moment on the atom in μB.
Sites, in units of the cell vectors:
Co (0.500, 0.500, 0.750)  1.04
W (0.000, 0.000, 0.526)  0.10
Br (0.500, 0.500, 0.250)  0.00
W (0.000, 0.000, 0.974)  0.10

Properties
The calculation puts the energy above the lowest structure with this stoichiometry at 0.2948 eV/atom. For the volume, the calculation gives 15.1 Å³ per atom. The value obtained for the formation energy without anion corrections is 821 meV per atom. The total energy is -31.4 eV/cell. The density of states at the Fermi level is 0.95 states/eV/atom. Its space group is P4/mmm (123).

First-principles (PBE) data for a relaxed structure of CoW2Br, as listed in Alexandria via LeMat-Bulk.

Cell lengths 5.269, 5.269, 5.269 Å; angles 148.06, 128.46, 61.93 degrees
Sites, in units of the cell vectors:
W (0.019, 0.019, 0.000)
Co (0.259, 0.759, 0.500)
Br (0.491, 0.491, 0.000)
W (0.731, 0.231, 0.500)

Properties
The calculation puts the energy above the lowest structure with this stoichiometry at 0.3878 eV/atom. For the volume, the calculation gives 15.0 Å³ per atom. The value obtained for the formation energy without anion corrections is 914 meV per atom. The total energy is -31.0 eV/cell. The density of states at the Fermi level is 0.79 states/eV/atom. Its space group is Imm2 (44).

First-principles (PBE) data for a relaxed structure of Co2WBr, as listed in Alexandria via LeMat-Bulk.

Cell lengths 4.214, 2.865, 4.698 Å; angles 87.18, 90.00, 90.00 degrees
Last column: magnetic moment on the atom in μB.
Sites, in units of the cell vectors:
Br (0.500, 0.913, 0.786)  0.00
Co (0.500, 0.050, 0.289)  0.11
W (0.000, 0.475, 0.448)  -0.02
Co (0.000, 0.062, 0.977)  -0.05

Properties
The calculation puts the energy above the lowest structure with this stoichiometry at 0.3258 eV/atom. For the volume, the calculation gives 14.2 Å³ per atom. The value obtained for the formation energy without anion corrections is 764 meV per atom. The total energy is -25.8 eV/cell. The density of states at the Fermi level is 0.83 states/eV/atom. Its space group is Pm (6).

First-principles (PBE) data for a relaxed structure of CoW2Br, as listed in Alexandria via LeMat-Bulk.

Cell lengths 5.373, 5.373, 5.373 Å; angles 147.42, 130.61, 60.43 degrees
Last column: magnetic moment on the atom in μB.
Sites, in units of the cell vectors:
W (0.507, 0.507, 0.000)  -0.01
W (0.993, 0.993, 0.000)  -0.01
Br (0.750, 0.250, 0.500)  0.03
Co (0.250, 0.750, 0.500)  1.20

Properties
The calculation puts the energy above the lowest structure with this stoichiometry at 0.5005 eV/atom. For the volume, the calculation gives 15.7 Å³ per atom. The value obtained for the formation energy without anion corrections is 1027 meV per atom. The total energy is -30.6 eV/cell. The density of states at the Fermi level is 1.00 states/eV/atom. Its space group is Immm (71).

First-principles (PBE) data for a relaxed structure of CoW2Br, as listed in Alexandria via LeMat-Bulk.

Cell lengths 4.123, 2.863, 5.520 Å; angles 75.19, 90.00, 90.00 degrees
Last column: magnetic moment on the atom in μB.
Sites, in units of the cell vectors:
Co (0.500, 0.750, 0.750)  0.91
W (0.000, 0.027, 0.975)  0.00
W (0.000, 0.473, 0.525)  0.00
Br (0.500, 0.250, 0.250)  0.01

Properties
The calculation puts the energy above the lowest structure with this stoichiometry at 0.4798 eV/atom. For the volume, the calculation gives 15.7 Å³ per atom. The value obtained for the formation energy without anion corrections is 1006 meV per atom. The total energy is -30.7 eV/cell. The density of states at the Fermi level is 0.82 states/eV/atom. Its space group is P2/m (10).